[1]
TmTlIn2I6: relaxed, PBE.

Cell: 8.5409 8.5511 8.9367 Å, 90.03 118.55 119.94°
Positions (direct):
Tm 0.0000 0.0000 0.0000
Tl 0.0155 0.5079 0.5234
In 0.6100 0.8053 0.4144
In 0.6297 0.3154 0.9443
I 0.1089 0.9051 0.7505
I 0.1122 0.7649 0.2211
I 0.4559 0.3473 0.2211
I 0.5470 0.6425 0.7502
I 0.8449 0.2030 0.7497
I 0.8730 0.1089 0.2206

Summary:
Space-group type: P1, No. 1

[2]
UTl2InI6: relaxed, PBE.

Cell: 9.0534 9.0534 9.0534 Å, 57.07 57.07 57.07°
Positions (direct):
U 0.0000 0.0000 0.0000
Tl 0.1982 0.1982 0.1982
Tl 0.6886 0.6886 0.6886
In 0.4938 0.4938 0.4938
I 0.1036 0.7900 0.3629
I 0.2461 0.6446 0.8828
I 0.3629 0.1036 0.7900
I 0.6446 0.8828 0.2461
I 0.7900 0.3629 0.1036
I 0.8828 0.2461 0.6446

Summary:
Space-group type: R3, No. 146

[3]
UTlIn2I8: relaxed, PBE.

Cell: 7.4757 8.1358 9.8477 Å, 90.04 90.07 90.26°
Positions (direct):
U 0.0000 0.0000 0.0000
Tl 0.0000 0.0000 0.5000
In 0.4999 0.5000 0.2638
In 0.5001 0.5000 0.7362
I 0.2106 0.6977 0.9997
I 0.2370 0.1387 0.2124
I 0.2366 0.1391 0.7882
I 0.2723 0.6600 0.4999
I 0.7277 0.3400 0.5001
I 0.7634 0.8609 0.2118
I 0.7630 0.8613 0.7876
I 0.7894 0.3023 0.0003

Summary:
Space-group type: P-1, No. 2

[4]
YTl2InI6: relaxed, PBE.

Cell: 8.5951 8.6047 8.9512 Å, 61.34 61.33 60.06°
Positions (direct):
Y 0.0000 0.0000 0.0000
Tl 0.1993 0.1995 0.4012
Tl 0.6896 0.6884 0.9324
In 0.4929 0.4928 0.5218
I 0.1068 0.3542 0.7488
I 0.2391 0.8810 0.2252
I 0.3543 0.7909 0.7481
I 0.6550 0.2382 0.2257
I 0.7899 0.1062 0.7489
I 0.8813 0.6549 0.2256

Summary:
Space-group type: P1, No. 1

no.,final energy (eV per atom),volume (Å³/atom)
1,-3.02,47.17
2,-3.48,48.93
3,-3.25,49.91
4,-3.24,47.76